VASP calculation (PBE-GGA) on a relaxed structure of YTa2H.

Its polymorph energy (0 for the lowest one) is 0.0000 eV per atom.

Unit cell a=5.9267 b=5.9267 c=5.9222 alpha=59.97 beta=59.97 gamma=90.00
Element x y z (fractional)
Ta (0.3750, 0.6250, 0.2500)
Ta (0.3750, 0.6250, 0.7500)
Ta (0.8750, 0.6250, 0.7500)
Ta (0.3750, 0.1250, 0.2500)
H (0.5000, 0.5000, 0.0000)
H (0.2500, 0.7500, 0.5000)
Y (0.0000, 0.0000, 0.0000)
Y (0.7500, 0.2500, 0.5000)